Record 1
Material: Li2NpCl6
Method: DFT, PBE
State: relaxed

Summary:
- uncorrected energy (Ry per atom) = -0.3518
- space group = No. 136

Lattice parameters (Å, degrees): 6.1448 6.1448 11.4591 90.00 90.00 90.00
Closest atoms and distances in Å follow each position.
Positions (direct):
Cl: 0.3021 0.3021 0.0000  2 Li 2.57, 1 Np 2.63
Cl: 0.6979 0.6979 0.0000  2 Li 2.57, 1 Np 2.63
Cl: 0.7996 0.2004 0.1695  2 Li 2.56-2.60, 1 Np 2.61
Cl: 0.2004 0.7996 0.1695  2 Li 2.56-2.60, 1 Np 2.61
Cl: 0.2996 0.2996 0.3305  2 Li 2.56-2.60, 1 Np 2.61
Cl: 0.7004 0.7004 0.3305  2 Li 2.56-2.60, 1 Np 2.61
Cl: 0.8021 0.1979 0.5000  2 Li 2.57, 1 Np 2.63
Cl: 0.1979 0.8021 0.5000  2 Li 2.57, 1 Np 2.63
Cl: 0.2996 0.2996 0.6695  2 Li 2.56-2.60, 1 Np 2.61
Cl: 0.7004 0.7004 0.6695  2 Li 2.56-2.60, 1 Np 2.61
Cl: 0.7996 0.2004 0.8305  2 Li 2.56-2.60, 1 Np 2.61
Cl: 0.2004 0.7996 0.8305  2 Li 2.56-2.60, 1 Np 2.61
Li: 0.5000 0.5000 0.1663  6 Cl 2.56-2.60
Li: 0.0000 0.0000 0.3337  6 Cl 2.56-2.60
Li: 0.0000 0.0000 0.6663  6 Cl 2.56-2.60
Li: 0.5000 0.5000 0.8337  6 Cl 2.56-2.60
Np: 0.0000 0.0000 0.0000  6 Cl 2.61-2.63
Np: 0.5000 0.5000 0.5000  6 Cl 2.61-2.63

***

Record 2
Material: HoNi6Ge4
Method: DFT, PBE
State: relaxed

Summary:
- uncorrected energy (Ry per atom) = -0.4141
- space group = No. 187

Lattice parameters (Å, degrees): 6.8211 6.8211 3.7648 90.00 90.00 120.00
Closest atoms and distances in Å follow each position.
Positions (direct):
Ge: 0.3333 0.6667 0.0000  9 Ni 2.41-2.42
Ge: 0.3828 0.1914 0.5000  6 Ni 2.35-2.48
Ge: 0.8086 0.1914 0.5000  6 Ni 2.35-2.48
Ge: 0.8086 0.6172 0.5000  6 Ni 2.35-2.48
Ho: 0.0000 0.0000 0.0000  6 Ge 2.94, 6 Ni 3.07
Ni: 0.5369 0.0738 0.0000  5 Ge 2.41-2.48, 2 Ni 2.66
Ni: 0.5369 0.4631 0.0000  5 Ge 2.41-2.48, 2 Ni 2.66
Ni: 0.9262 0.4631 0.0000  5 Ge 2.41-2.48, 2 Ni 2.66
Ni: 0.2050 0.4100 0.5000  4 Ge 2.35-2.42, 2 Ni 2.63
Ni: 0.2050 0.7950 0.5000  4 Ge 2.35-2.42, 2 Ni 2.63
Ni: 0.5900 0.7950 0.5000  4 Ge 2.35-2.42, 2 Ni 2.63

***

Record 3
Material: Tm2TlCoNi
Method: DFT, PBE
State: relaxed

Summary:
- uncorrected energy (Ry per atom) = -0.3806
- space group = No. 38

Lattice parameters (Å, degrees): 3.6906 7.3095 7.3095 30.30 90.00 90.00
Closest atoms and distances in Å follow each position.
Positions (direct):
Co: 0.0000 0.7980 0.7980  2 Ni 2.35
Ni: 0.0000 0.2011 0.2011  2 Co 2.35
Tl: 0.0000 0.9991 0.9991  1 Co 2.84, 1 Ni 2.85
Tm: 0.5000 0.3599 0.3599  4 Co 2.80, 2 Ni 2.90
Tm: 0.5000 0.6420 0.6420  4 Ni 2.78, 2 Co 2.87

***

Record 4
Material: MgRe2O4
Method: DFT, PBE
State: relaxed

Summary:
- uncorrected energy (Ry per atom) = -0.5729
- space group = No. 227

Lattice parameters (Å, degrees): 6.0224 6.0224 6.0224 119.99 90.01 119.99
Closest atoms and distances in Å follow each position.
Positions (direct):
Mg: 0.0000 0.0000 0.0000  4 O 1.87
Mg: 0.7500 0.5000 0.2500  4 O 1.87
O: 0.6233 0.2468 0.3765  1 Mg 1.87
O: 0.1297 0.7532 0.3765  1 Mg 1.87
O: 0.6235 0.7532 0.3767  1 Mg 1.87
O: 0.1265 0.2532 0.3797  1 Mg 1.87
O: 0.6235 0.2468 0.8703  1 Mg 1.87
O: 0.1265 0.7468 0.8733  1 Mg 1.87
O: 0.6203 0.7468 0.8735  1 Mg 1.87
O: 0.1267 0.2532 0.8735  1 Mg 1.87
Re: 0.3750 0.7500 0.1250  6 O 2.12
Re: 0.8750 0.2500 0.6250  6 O 2.12
Re: 0.3750 0.7500 0.6250  6 O 2.12
Re: 0.3750 0.2500 0.6250  6 O 2.12

***

Record 5
Material: MgScCuSb
Method: DFT, PBE
State: relaxed

Summary:
- offset from the most stable computed form (meV per atom) = 0
- space group = No. 216

Lattice parameters (Å, degrees): 4.8272 4.8272 4.8272 60.00 60.00 60.00
Closest atoms and distances in Å follow each position.
Positions (direct):
Cu: 0.7500 0.7500 0.7500  4 Mg 2.96, 4 Sc 2.96
Mg: 0.5000 0.5000 0.5000  4 Sb 2.96, 4 Cu 2.96
Sb: 0.2500 0.2500 0.2500  4 Mg 2.96, 4 Sc 2.96
Sc: 0.0000 0.0000 0.0000  4 Sb 2.96, 4 Cu 2.96

***

Record 6
Material: PaAgO3
Method: DFT, PBE
State: relaxed

Summary:
- uncorrected energy (Ry per atom) = -0.5196
- space group = No. 99

Lattice parameters (Å, degrees): 3.5823 3.5823 5.9009 90.00 90.00 90.00
Closest atoms and distances in Å follow each position.
Positions (direct):
Ag: 0.5000 0.5000 0.4409  1 O 2.12
O: 0.5000 0.5000 0.0814  1 Ag 2.12
O: 0.5000 0.0000 0.7262  2 Pa 2.14
O: 0.0000 0.5000 0.7262  2 Pa 2.14
Pa: 0.0000 0.0000 0.9253  4 O 2.14